[1]
Tb8AlIn6 after structural relaxation. Source: Alexandria via LeMat-Bulk, functional PBE-GGA.

Unit cell a=9.158 b=9.158 c=8.107 alpha=55.61 beta=55.61 gamma=60.00
Element x y z (fractional)
In 0.659 0.420 0.828
In 0.341 0.580 0.172
In 0.907 0.341 0.172
In 0.420 0.093 0.828
In 0.093 0.659 0.828
In 0.580 0.907 0.172
Tb 0.893 0.640 0.326
Tb 0.107 0.360 0.674
Tb 0.142 0.893 0.326
Tb 0.284 0.284 0.148
Tb 0.360 0.858 0.674
Tb 0.858 0.107 0.674
Tb 0.640 0.142 0.326
Tb 0.716 0.716 0.852
Al 0.000 0.000 0.000

Values from the calculation:
Formation energy = -3.51 eV/f.u.
Raw total energy = -4.05 eV per atom


[2]
Tb4Al2In after structural relaxation. Source: Alexandria via LeMat-Bulk, functional PBE-GGA.

Unit cell a=5.077 b=5.077 c=9.674 alpha=74.79 beta=74.79 gamma=60.00
Element x y z (fractional)
In 0.000 0.000 0.000
Tb 0.796 0.796 0.611
Tb 0.381 0.381 0.856
Tb 0.619 0.619 0.144
Tb 0.204 0.204 0.389
Al 0.096 0.096 0.711
Al 0.904 0.904 0.289

Values from the calculation:
Formation energy = -0.79 eV/f.u.
Raw total energy = -4.22 eV per atom


[3]
TbAlIn after structural relaxation. Source: Alexandria via LeMat-Bulk, functional PBE-GGA.

Unit cell a=4.503 b=6.136 c=6.033 alpha=73.15 beta=68.08 gamma=68.47
Element x y z (fractional)
Al 0.850 0.182 0.118
Al 0.150 0.818 0.882
Tb 0.559 0.189 0.692
Tb 0.441 0.811 0.308
In 0.169 0.394 0.268
In 0.831 0.606 0.732

Values from the calculation:
Formation energy = -1.33 eV/f.u.
Raw total energy = -4.15 eV per atom


[4]
Tb7Al4In after structural relaxation. Source: Alexandria via LeMat-Bulk, functional PBE-GGA.

Unit cell a=5.727 b=8.947 c=7.521 alpha=67.23 beta=67.62 gamma=71.34
Element x y z (fractional)
Al 0.518 0.337 0.627
Al 0.322 0.339 0.017
Al 0.482 0.663 0.373
Al 0.678 0.661 0.983
Tb 0.811 0.869 0.509
Tb 0.259 0.707 0.774
Tb 0.080 0.585 0.255
Tb 0.500 0.000 0.000
Tb 0.741 0.293 0.226
Tb 0.920 0.415 0.745
Tb 0.189 0.131 0.491
In 0.000 0.000 0.000

Values from the calculation:
Formation energy = -1.77 eV/f.u.
Raw total energy = -4.32 eV per atom


[5]
Tb4AlIn3 after structural relaxation. Source: Alexandria via LeMat-Bulk, functional PBE-GGA.

Unit cell a=3.698 b=3.698 c=15.277 alpha=90.00 beta=90.00 gamma=90.00
Element x y z (fractional)
In 0.500 0.500 0.500
In 0.500 0.500 0.244
In 0.500 0.500 0.756
Tb 0.000 0.000 0.629
Tb 0.000 0.000 0.371
Tb 0.000 0.000 0.116
Tb 0.000 0.000 0.884
Al 0.500 0.500 0.000

Values from the calculation:
Formation energy = -3.63 eV/f.u.
Raw total energy = -4.26 eV per atom


[6]
Tb3AlIn after structural relaxation. Source: Alexandria via LeMat-Bulk, functional PBE-GGA.

Unit cell a=4.936 b=4.937 c=11.328 alpha=90.00 beta=77.42 gamma=90.00
Element x y z (fractional)
Tb 0.263 0.750 0.122
Tb 0.763 0.250 0.122
Tb 0.385 0.250 0.878
Tb 0.074 0.750 0.500
Tb 0.574 0.250 0.500
Tb 0.885 0.750 0.878
In 0.169 0.250 0.310
In 0.479 0.750 0.690
Al 0.979 0.250 0.690
Al 0.669 0.750 0.310

Values from the calculation:
Formation energy = -1.64 eV/f.u.
Raw total energy = -4.40 eV per atom


[7]
TbAl2In after structural relaxation. Source: Alexandria via LeMat-Bulk, functional PBE-GGA.

Unit cell a=4.321 b=4.445 c=4.445 alpha=90.00 beta=90.00 gamma=90.00
Element x y z (fractional)
Al 0.000 0.500 0.000
Al 0.000 0.000 0.500
Tb 0.500 0.500 0.500
In 0.500 0.000 0.000

Values from the calculation:
Formation energy = -1.52 eV/f.u.
Raw total energy = -4.09 eV per atom


[8]
TbAlIn2 after structural relaxation. Source: Alexandria via LeMat-Bulk, functional PBE-GGA.

Unit cell a=4.635 b=4.635 c=5.973 alpha=67.17 beta=67.17 gamma=60.00
Element x y z (fractional)
Tb 0.500 0.500 0.500
In 0.729 0.729 0.814
In 0.271 0.271 0.186
Al 0.000 0.000 0.000

Values from the calculation:
Formation energy = -0.66 eV/f.u.
Raw total energy = -3.63 eV per atom


[9]
TbAlIn2 after structural relaxation. Source: Alexandria via LeMat-Bulk, functional PBE-GGA.

Unit cell a=3.753 b=3.753 c=6.885 alpha=90.00 beta=90.00 gamma=90.00
Each line ends with the local moment (μB).
Element x y z (fractional)
In 0.000 0.000 0.218  0.00
In 0.000 0.000 0.782  0.00
Tb 0.500 0.500 0.500  0.12
Al 0.500 0.500 0.000  0.00

Values from the calculation:
Formation energy = -0.75 eV/f.u.
Raw total energy = -3.65 eV per atom


[10]
TbAlIn after structural relaxation. Source: Alexandria via LeMat-Bulk, functional PBE-GGA.

Unit cell a=5.564 b=3.343 c=8.204 alpha=101.76 beta=90.00 gamma=90.00
Element x y z (fractional)
Tb 0.749 0.646 0.292
Tb 0.249 0.354 0.708
Al 0.499 0.000 0.000
Al 0.999 0.000 0.000
In 0.249 0.159 0.318
In 0.749 0.841 0.682

Values from the calculation:
Formation energy = -0.71 eV/f.u.
Raw total energy = -3.94 eV per atom


[11]
Tb3Al4In2 after structural relaxation. Source: Alexandria via LeMat-Bulk, functional PBE-GGA.

Unit cell a=4.696 b=5.891 c=8.835 alpha=112.96 beta=90.00 gamma=113.49
Element x y z (fractional)
Al 0.266 0.532 0.942
Al 0.953 0.906 0.615
Al 0.047 0.094 0.385
Al 0.734 0.468 0.058
Tb 0.665 0.330 0.669
Tb 0.000 0.000 0.000
Tb 0.335 0.670 0.331
In 0.616 0.233 0.280
In 0.384 0.767 0.720

Values from the calculation:
Formation energy = -4.05 eV/f.u.
Raw total energy = -4.27 eV per atom


[12]
Tb8AlIn2 after structural relaxation. Source: Alexandria via LeMat-Bulk, functional PBE-GGA.

Unit cell a=5.225 b=6.874 c=9.622 alpha=103.68 beta=105.76 gamma=90.00
Element x y z (fractional)
Tb 0.984 0.234 0.968
Tb 0.798 0.708 0.596
Tb 0.656 0.965 0.311
Tb 0.344 0.035 0.689
Tb 0.202 0.292 0.404
Tb 0.592 0.459 0.184
Tb 0.016 0.766 0.032
Tb 0.408 0.541 0.816
In 0.815 0.266 0.630
In 0.185 0.734 0.370
Al 0.500 0.000 0.000

Values from the calculation:
Formation energy = -2.29 eV/f.u.
Raw total energy = -4.41 eV per atom


Magnetic moment (μB per formula unit)
0.003, 0.000, 0.000, 0.000, 0.000, 0.000, 0.000, 0.000, 0.207, 0.000, 0.000, 0.000